{"formula": "Y2MgScB", "functional": "PBE", "state": "relaxed", "lattice_angstrom": [[5.1422, 0.0000, 0.0000], [0.0000, 5.1422, 0.0000], [0.0000, 0.0000, 4.7421]], "species": ["Y", "Y", "Mg", "Sc", "B"], "fractional_positions": [[0.0000, 0.5000, 0.0000], [0.5000, 0.0000, 0.0000], [0.0000, 0.0000, 0.5000], [0.5000, 0.5000, 0.5000], [0.5000, 0.5000, 0.0000]], "delta_e_f_mev_per_atom": -61, "dos_ef_per_ev_cell": 7.2}

***

{"formula": "NaCuI3O9", "functional": "PBE", "state": "relaxed", "lattice_angstrom": [[7.4750, 0.0000, 0.0000], [1.2927, 7.8696, 0.0000], [2.3110, 2.3861, 7.5121]], "species": ["Na", "Na", "Cu", "Cu", "I", "I", "I", "I", "I", "I", "O", "O", "O", "O", "O", "O", "O", "O", "O", "O", "O", "O", "O", "O", "O", "O", "O", "O"], "fractional_positions": [[0.1982, 0.2822, 0.3725], [0.8018, 0.7178, 0.6275], [0.5000, 0.5000, 0.0000], [0.5000, 0.5000, 0.5000], [0.2038, 0.2854, 0.9078], [0.2348, 0.7674, 0.2602], [0.2515, 0.8524, 0.7152], [0.7485, 0.1476, 0.2848], [0.7652, 0.2326, 0.7398], [0.7962, 0.7146, 0.0922], [0.0208, 0.2127, 0.6855], [0.0476, 0.7174, 0.7959], [0.2063, 0.0454, 0.9914], [0.2527, 0.9519, 0.4789], [0.2537, 0.5589, 0.4465], [0.2692, 0.6529, 0.0868], [0.3389, 0.3112, 0.0558], [0.4067, 0.2920, 0.7110], [0.4424, 0.6772, 0.7012], [0.5576, 0.3228, 0.2988], [0.5933, 0.7080, 0.2890], [0.6611, 0.6888, 0.9442], [0.7308, 0.3471, 0.9132], [0.7463, 0.4411, 0.5535], [0.7473, 0.0481, 0.5211], [0.7937, 0.9546, 0.0086], [0.9524, 0.2826, 0.2041], [0.9792, 0.7873, 0.3145]], "total_energy_ev_per_atom": -4.46}

***

{"formula": "La2Sb2F", "functional": "PBE", "state": "relaxed", "lattice_angstrom": [[2.3033, -8.0416, 0.0000], [2.3033, 8.0416, 0.0000], [0.0000, 0.0000, 7.9166]], "species": ["La", "La", "La", "La", "Sb", "Sb", "Sb", "Sb", "F", "F"], "fractional_positions": [[0.0470, 0.9530, 0.5000], [0.3379, 0.6621, 0.3641], [0.6621, 0.3379, 0.8641], [0.9530, 0.0470, 0.0000], [0.3036, 0.6964, 0.9592], [0.4505, 0.5495, 0.7082], [0.5495, 0.4505, 0.2082], [0.6964, 0.3036, 0.4592], [0.0983, 0.9017, 0.8228], [0.9017, 0.0983, 0.3228]], "dos_ef_per_ev_cell": 7.3, "polymorph_energy_ev_per_fu": 0.00}

***

{"formula": "NaSrSe2N", "functional": "PBE", "state": "relaxed", "lattice_angstrom": [[5.9385, 0.0000, 0.0000], [0.0000, 5.9385, 0.0000], [0.0000, 0.0000, 5.0041]], "species": ["Na", "Sr", "Se", "Se", "N"], "fractional_positions": [[0.0000, 0.0000, 0.0000], [0.5000, 0.5000, 0.5000], [0.0000, 0.5000, 0.5000], [0.5000, 0.0000, 0.5000], [0.5000, 0.5000, 0.0000]], "dos_ef_per_ev_cell": 4.5, "polymorph_energy_ev_per_fu": 0.52}

***

{"formula": "AcSc2Bi2O7", "functional": "PBE", "state": "relaxed", "lattice_angstrom": [[-1.7897, 9.5306, 2.8485], [1.7897, -9.5306, 2.8485], [1.7897, 9.5306, -2.8485]], "species": ["Ac", "Sc", "Sc", "Bi", "Bi", "O", "O", "O", "O", "O", "O", "O"], "fractional_positions": [[0.0000, 0.0000, 0.0000], [0.4609, 0.0630, 0.3979], [0.6651, 0.0630, 0.6021], [0.2715, 0.5763, 0.6952], [0.8811, 0.5763, 0.3048], [0.1293, 0.7102, 0.4190], [0.2389, 0.9530, 0.2859], [0.2912, 0.7102, 0.5810], [0.6183, 0.7328, 0.8854], [0.6670, 0.9530, 0.7141], [0.6907, 0.1907, 0.5000], [0.8474, 0.7328, 0.1146]], "dos_ef_per_ev_cell": 2.5, "total_energy_ev_per_atom": -7.39}

***

{"formula": "BiPdIO2", "functional": "PBE", "state": "relaxed", "lattice_angstrom": [[4.3437, 0.0000, 0.0000], [0.0000, 4.3437, 0.0000], [0.0000, 0.0000, 5.0956]], "species": ["Bi", "Pd", "I", "O", "O"], "fractional_positions": [[0.0000, 0.0000, 0.0000], [0.5000, 0.5000, 0.5000], [0.5000, 0.5000, 0.0000], [0.0000, 0.5000, 0.5000], [0.5000, 0.0000, 0.5000]], "dos_ef_per_ev_cell": 3.4, "polymorph_energy_ev_per_fu": 1.92}

***

{"formula": "ZrC7", "functional": "PBE", "state": "relaxed", "lattice_angstrom": [[0.0000, 3.3051, 3.3051], [3.3051, 0.0000, 3.3051], [3.3051, 3.3051, 0.0000]], "species": ["Zr", "C", "C", "C", "C", "C", "C", "C"], "fractional_positions": [[0.0000, 0.0000, 0.0000], [0.0000, 0.0000, 0.5000], [0.0000, 0.5000, 0.0000], [0.0000, 0.5000, 0.5000], [0.5000, 0.0000, 0.0000], [0.5000, 0.0000, 0.5000], [0.5000, 0.5000, 0.0000], [0.5000, 0.5000, 0.5000]], "delta_e_f_mev_per_atom": 3276, "dos_ef_per_ev_cell": 3.3}

***

{"formula": "LiAc2TlO6", "functional": "PBE", "state": "relaxed", "lattice_angstrom": [[5.7205, 0.0000, 0.0000], [0.0000, 5.7205, 0.0000], [0.0000, 0.0000, 4.6432]], "species": ["Li", "Ac", "Ac", "Tl", "O", "O", "O", "O", "O", "O"], "fractional_positions": [[0.0000, 0.0000, 0.0000], [0.0000, 0.5000, 0.4493], [0.5000, 0.0000, 0.4493], [0.5000, 0.5000, 0.0253], [0.0000, 0.0000, 0.5560], [0.2398, 0.2398, 0.1137], [0.2398, 0.7602, 0.1137], [0.5000, 0.5000, 0.5545], [0.7602, 0.2398, 0.1137], [0.7602, 0.7602, 0.1137]], "dos_ef_per_ev_cell": 4.2, "total_energy_ev_per_atom": -6.09}